1.
Here is a relaxed SrInNO2 crystal from the Alexandria database. Energies are from PBE.

Summary:
- Volume: 15.59 Å³ per atom
- Symmetry: P4/mmm (123)
- Formation energy (no corrections): -4.1 eV/f.u.

a b c (Å): 4.2937 4.2937 4.2284
angles (deg): 90.00 90.00 90.00
Fractional positions:
Sr 0.0000 0.0000 0.0000
In 0.5000 0.5000 0.5000
N 0.5000 0.5000 0.0000
O 0.0000 0.5000 0.5000
O 0.5000 0.0000 0.5000


2.
Here is a relaxed InTcNO2 crystal from the Alexandria database. Energies are from PBE.

Summary:
- Volume: 14.78 Å³ per atom
- Symmetry: P4/mmm (123)
- Formation energy (no corrections): 3.8 eV/f.u.

a b c (Å): 4.1356 4.1356 4.3194
angles (deg): 90.00 90.00 90.00
Fractional positions:
In 0.0000 0.0000 0.0000
Tc 0.5000 0.5000 0.5000
N 0.0000 0.0000 0.5000
O 0.0000 0.5000 0.0000
O 0.5000 0.0000 0.0000


3.
Here is a relaxed InTcNO2 crystal from the Alexandria database. Energies are from PBE.

Summary:
- Volume: 12.68 Å³ per atom
- Symmetry: P4/mmm (123)
- Formation energy (no corrections): -2.5 eV/f.u.

a b c (Å): 3.9277 3.9277 4.1082
angles (deg): 90.00 90.00 90.00
Fractional positions:
In 0.0000 0.0000 0.0000
Tc 0.5000 0.5000 0.5000
N 0.5000 0.5000 0.0000
O 0.0000 0.5000 0.5000
O 0.5000 0.0000 0.5000